i) # TcTeMoN2

An optimized crystal structure of TcTeMoN2 (GGA-PBE, Alexandria via LeMat-Bulk).

POSCAR file:
```
TcTeMoN2
1.0
-1.288 -2.385 2.813
1.202 -3.088 -2.068
5.067 0.266 2.547
Mo Te Tc N
1 1 1 2
Direct
0.500 0.500 0.500
0.000 0.000 0.500
0.000 0.000 0.000
0.000 0.500 0.000
0.500 0.000 0.000
```

## Properties
Space group: P4/mmm (123)
Magnetization, μB/f.u.: 3.1

=====

ii) # TcTeMoN2

An optimized crystal structure of TcTeMoN2 (GGA-PBE, Alexandria via LeMat-Bulk).

POSCAR file:
```
TcTeMoN2
1.0
-3.515 0.340 1.735
0.552 -3.458 1.795
2.447 2.690 4.430
Mo Te Tc N
1 1 1 2
Direct
0.000 0.000 0.000
0.000 0.000 0.500
0.500 0.500 0.500
0.000 0.500 0.000
0.500 0.000 0.000
```

## Properties
Space group: P4/mmm (123)
Magnetization, μB/f.u.: 3.6

=====

In terms of stability, ii) leads; the second structure lies 8.2 kJ/mol of atoms higher.

=====

i) # TeMo3N

An optimized crystal structure of TeMo3N (GGA-PBE, Alexandria via LeMat-Bulk).

POSCAR file:
```
TeMo3N
1.0
-1.003 2.506 -3.237
-2.109 -3.173 -1.803
-3.509 1.191 2.009
Mo Te N
3 1 1
Direct
0.000 0.500 0.000
0.000 0.000 0.500
0.500 0.000 0.000
0.500 0.500 0.500
0.000 0.000 0.000
```

## Properties
Space group: Pm-3m (221)
Magnetization, μB/f.u.: 1.3

=====

ii) # TeMo3N

An optimized crystal structure of TeMo3N (GGA-PBE, Alexandria via LeMat-Bulk).

POSCAR file:
```
TeMo3N
1.0
-1.340 -2.807 3.763
-1.907 -3.251 -3.104
4.290 -2.322 -0.204
Mo Te N
3 1 1
Direct
0.000 0.500 0.000
0.000 0.000 0.500
0.500 0.000 0.000
0.000 0.000 0.000
0.500 0.500 0.500
```

## Properties
Space group: Pm-3m (221)
Magnetization, μB/f.u.: 0.0

=====

In terms of stability, i) leads; the second structure lies 279.7 kJ/mol of atoms higher.